Model P:
The following is a GGA-PBE calculation of a relaxed structure of LiPrSm, from Alexandria via LeMat-Bulk.

Summary:
M_tot = 0.000 μB/atom

The structure in CIF format:
```
data_LiPrSm
_chemical_formula_sum 'Li4 Pr4 Sm4'
_symmetry_space_group_name_H-M 'C 1 2/m 1'
_symmetry_Int_Tables_number 12
_cell_length_a 13.2792
_cell_length_b 3.4253
_cell_length_c 9.6807
_cell_angle_alpha 90.00
_cell_angle_beta 117.42
_cell_angle_gamma 90.00
loop_
_symmetry_equiv_pos_as_xyz
'x,y,z'
'-x,-y,-z'
'-x,y,-z'
'x,-y,z'
'x+1/2,y+1/2,z'
'-x+1/2,-y+1/2,-z'
'-x+1/2,y+1/2,-z'
'x+1/2,-y+1/2,z'
loop_
_atom_site_label
_atom_site_fract_x
_atom_site_fract_y
_atom_site_fract_z
Li1 0.1301 0.0000 0.4904
Pr1 0.1240 0.0000 0.8440
Sm1 0.1205 0.5000 0.1748
```

***

Model Q:
The following is a GGA-PBE calculation of a relaxed structure of LiPrSm, from Alexandria via LeMat-Bulk.

Summary:
M_tot = 0.000 μB/atom

The structure in CIF format:
```
data_LiPrSm
_chemical_formula_sum 'Li1 Pr1 Sm1'
_symmetry_space_group_name_H-M 'P 3 m 1'
_symmetry_Int_Tables_number 156
_cell_length_a 3.5800
_cell_length_b 3.5800
_cell_length_c 8.4896
_cell_angle_alpha 90.00
_cell_angle_beta 90.00
_cell_angle_gamma 120.00
loop_
_symmetry_equiv_pos_as_xyz
'x,y,z'
'-y,x-y,z'
'-x+y,-x,z'
'-y,-x,z'
'-x+y,y,z'
'x,x-y,z'
loop_
_atom_site_label
_atom_site_fract_x
_atom_site_fract_y
_atom_site_fract_z
Li1 0.0000 0.0000 0.0000
Pr1 0.3333 0.6667 0.6701
Sm1 0.6667 0.3333 0.3239
```

***

Most stable of them? model Q.

***

Model P:
The following is a GGA-PBE calculation of a relaxed structure of LiPr2Sm, from Alexandria via LeMat-Bulk.

Summary:
M_tot = 0.000 μB/atom

The structure in CIF format:
```
data_LiPr2Sm
_chemical_formula_sum 'Li1 Pr2 Sm1'
_symmetry_space_group_name_H-M 'P 3 m 1'
_symmetry_Int_Tables_number 156
_cell_length_a 3.5929
_cell_length_b 3.5929
_cell_length_c 12.0704
_cell_angle_alpha 90.00
_cell_angle_beta 90.00
_cell_angle_gamma 120.00
loop_
_symmetry_equiv_pos_as_xyz
'x,y,z'
'-y,x-y,z'
'-x+y,-x,z'
'-y,-x,z'
'-x+y,y,z'
'x,x-y,z'
loop_
_atom_site_label
_atom_site_fract_x
_atom_site_fract_y
_atom_site_fract_z
Li1 0.0000 0.0000 0.0000
Pr1 0.0000 0.0000 0.7273
Pr2 0.6667 0.3333 0.2369
Sm1 0.3333 0.6667 0.4842
```

***

Model Q:
The following is a GGA-PBE calculation of a relaxed structure of LiPr2Sm, from Alexandria via LeMat-Bulk.

Summary:
M_tot = 0.000 μB/atom

The structure in CIF format:
```
data_LiPr2Sm
_chemical_formula_sum 'Li3 Pr6 Sm3'
_symmetry_space_group_name_H-M 'R -3 m'
_symmetry_Int_Tables_number 166
_symmetry_space_group_name_Hall '-R 3 2"'
_cell_length_a 3.5672
_cell_length_b 3.5672
_cell_length_c 37.6612
_cell_angle_alpha 90.00
_cell_angle_beta 90.00
_cell_angle_gamma 120.00
loop_
_atom_site_label
_atom_site_fract_x
_atom_site_fract_y
_atom_site_fract_z
Li1 0.0000 0.0000 0.0000
Pr1 0.0000 0.0000 0.0884
Sm1 0.0000 0.0000 0.5000
```

***

Most stable of them? model P.

***

Model P:
The following is a GGA-PBE calculation of a relaxed structure of LiPr2Sm, from Alexandria via LeMat-Bulk.

Summary:
M_tot = 0.000 μB/atom

The structure in CIF format:
```
data_LiPr2Sm
_chemical_formula_sum 'Li3 Pr6 Sm3'
_symmetry_space_group_name_H-M 'R 3 m'
_symmetry_Int_Tables_number 160
_symmetry_space_group_name_Hall 'R 3 -2"'
_cell_length_a 3.6388
_cell_length_b 3.6388
_cell_length_c 34.5060
_cell_angle_alpha 90.00
_cell_angle_beta 90.00
_cell_angle_gamma 120.00
loop_
_atom_site_label
_atom_site_fract_x
_atom_site_fract_y
_atom_site_fract_z
Li1 0.0000 0.0000 0.0000
Pr1 0.0000 0.0000 0.4137
Pr2 0.0000 0.0000 0.5858
Sm1 0.0000 0.0000 0.8329
```

***

Model Q:
The following is a GGA-PBE calculation of a relaxed structure of LiPr2Sm, from Alexandria via LeMat-Bulk.

Summary:
M_tot = 0.000 μB/atom

The structure in CIF format:
```
data_LiPr2Sm
_chemical_formula_sum 'Li1 Pr2 Sm1'
_symmetry_space_group_name_H-M 'P 4/m m m'
_symmetry_Int_Tables_number 123
_symmetry_space_group_name_Hall '-P 4 2'
_cell_length_a 3.6912
_cell_length_b 3.6912
_cell_length_c 9.3118
_cell_angle_alpha 90.00
_cell_angle_beta 90.00
_cell_angle_gamma 90.00
loop_
_atom_site_label
_atom_site_fract_x
_atom_site_fract_y
_atom_site_fract_z
Li1 0.0000 0.0000 0.0000
Pr1 0.5000 0.5000 0.2268
Sm1 0.0000 0.0000 0.5000
```

***

Model R:
The following is a GGA-PBE calculation of a relaxed structure of LiPr2Sm, from Alexandria via LeMat-Bulk.

Summary:
M_tot = 0.000 μB/atom

The structure in CIF format:
```
data_LiPr2Sm
_chemical_formula_sum 'Li4 Pr8 Sm4'
_symmetry_space_group_name_H-M 'F m -3 m'
_symmetry_Int_Tables_number 225
_symmetry_space_group_name_Hall '-F 4 2 3'
_cell_length_a 8.0136
_cell_length_b 8.0136
_cell_length_c 8.0136
_cell_angle_alpha 90.00
_cell_angle_beta 90.00
_cell_angle_gamma 90.00
loop_
_atom_site_label
_atom_site_fract_x
_atom_site_fract_y
_atom_site_fract_z
Li1 0.0000 0.0000 0.0000
Pr1 0.2500 0.2500 0.2500
Sm1 0.0000 0.0000 0.5000
```

***

Most stable of them? model Q.